CrRhW | Alexandria via LeMat-Bulk | PBE | optimized geometry; relative energy among the computed polymorphs = 0.447 eV per formula unit; formation energy = 0.19 eV/atom; calculated total energy = -58.74 eV for the cell shown; crystal system = tetragonal
1.0
3.1038 0.0000 0.0000
0.0000 3.1038 0.0000
0.0000 0.0000 9.0473
Cr Rh W
2 2 2
direct
0.0000 0.0000 0.0000 Cr
0.5000 0.5000 0.5000 Cr
0.0000 0.0000 0.3241 Rh
0.5000 0.5000 0.8241 Rh
0.0000 0.0000 0.6475 W
0.5000 0.5000 0.1475 W